# 1
VASP calculation (GGA-PBEsol) on crystalline Ca4Mg4P4O17F3 at its relaxed geometry. Values from VASP.

Crystal system: monoclinic
SG: C2
M_tot: 1.2 μB per formula unit
Formation energy (no corrections): -2.871 eV/atom
Raw total energy: -0.2589 hartree per atom

```
&SYSTEM
  ibrav = 0, nat = 32, ntyp = 5
/
ATOMIC_SPECIES
Ca 40.08 Ca.upf
Mg 24.30 Mg.upf
P 30.97 P.upf
O 16.00 O.upf
F 19.00 F.upf
CELL_PARAMETERS angstrom
6.477 0.009 -0.006
0.623 7.823 0.016
-0.623 -2.934 7.252
ATOMIC_POSITIONS crystal
Ca 0.500 0.785 0.785
Ca 0.000 0.287 0.287
Ca 0.739 0.222 0.703
Ca 0.261 0.703 0.222
Mg 0.876 0.751 0.501
Mg 0.382 0.252 0.997
Mg 0.618 0.997 0.252
Mg 0.124 0.501 0.751
P 0.500 0.446 0.446
P 0.000 0.944 0.944
P 0.755 0.553 0.057
P 0.245 0.057 0.553
O 0.103 0.128 0.978
O 0.591 0.632 0.473
O 0.897 0.978 0.128
O 0.409 0.473 0.632
O 0.160 0.869 0.531
O 0.669 0.364 0.025
O 0.331 0.025 0.364
O 0.840 0.531 0.869
O 0.669 0.285 0.406
O 0.167 0.782 0.906
O 0.331 0.406 0.285
O 0.833 0.906 0.782
O 0.582 0.710 0.105
O 0.075 0.216 0.596
O 0.925 0.596 0.216
O 0.418 0.105 0.710
O 0.500 0.036 0.036
F 0.000 0.540 0.540
F 0.748 0.960 0.460
F 0.252 0.460 0.960
```

***

# 2
VASP calculation (GGA-PBEsol) on crystalline AlZn at its relaxed geometry. Values from VASP.

Crystal system: triclinic
SG: P-1
DFT formation energy: 0.066 eV/atom
M_tot: 0.0 μB per formula unit
Raw total energy: -0.1018 hartree per atom

```
&SYSTEM
  ibrav = 0, nat = 4, ntyp = 2
/
ATOMIC_SPECIES
Zn 65.41 Zn.upf
Al 26.98 Al.upf
CELL_PARAMETERS angstrom
-1.708 2.060 -0.781
-1.892 -2.870 -3.209
-1.409 -1.007 5.143
ATOMIC_POSITIONS crystal
Zn 0.131 0.296 0.254
Zn 0.869 0.704 0.746
Al 0.626 0.794 0.247
Al 0.374 0.206 0.753
```

***

# 3
VASP calculation (GGA-PBEsol) on crystalline AlNi6Os at its relaxed geometry. Values from VASP.

Crystal system: orthorhombic
SG: Cmmm
DFT formation energy: -0.148 eV/atom
M_tot: 0.0 μB per formula unit
Raw total energy: -0.2501 hartree per atom

```
&SYSTEM
  ibrav = 0, nat = 32, ntyp = 3
/
ATOMIC_SPECIES
Al 26.98 Al.upf
Ni 58.69 Ni.upf
Os 190.23 Os.upf
CELL_PARAMETERS angstrom
6.132 0.000 0.000
-2.050 5.779 0.000
0.000 0.000 10.020
ATOMIC_POSITIONS crystal
Al 0.250 0.750 0.000
Al 0.750 0.250 0.000
Al 0.500 0.500 0.753
Al 0.500 0.500 0.247
Ni 0.249 0.751 0.749
Ni 0.875 0.625 0.875
Ni 0.125 0.375 0.875
Ni 0.751 0.249 0.749
Ni 0.375 0.125 0.875
Ni 0.625 0.875 0.875
Ni 0.500 0.500 0.500
Ni 0.124 0.375 0.627
Ni 0.375 0.124 0.627
Ni 0.249 0.751 0.251
Ni 0.876 0.625 0.373
Ni 0.124 0.375 0.373
Ni 0.751 0.249 0.251
Ni 0.375 0.124 0.373
Ni 0.625 0.876 0.373
Ni 0.500 0.500 0.000
Ni 0.125 0.375 0.125
Ni 0.375 0.125 0.125
Ni 0.000 0.000 0.500
Ni 0.625 0.876 0.627
Ni 0.876 0.625 0.627
Ni 0.000 0.000 0.000
Ni 0.625 0.875 0.125
Ni 0.875 0.625 0.125
Os 0.252 0.748 0.500
Os 0.748 0.252 0.500
Os 0.000 0.000 0.753
Os 0.000 0.000 0.247
```

***

# 4
VASP calculation (GGA-PBEsol) on crystalline CrRe2As at its relaxed geometry. Values from VASP.

Crystal system: monoclinic
SG: C2/m
DFT formation energy: 0.269 eV/atom
M_tot: 1.1 μB per formula unit
Raw total energy: -0.3761 hartree per atom

```
&SYSTEM
  ibrav = 0, nat = 4, ntyp = 3
/
ATOMIC_SPECIES
As 74.92 As.upf
Cr 52.00 Cr.upf
Re 186.21 Re.upf
CELL_PARAMETERS angstrom
-0.633 -2.622 -0.930
3.133 0.391 -3.235
2.867 -0.432 3.643
ATOMIC_POSITIONS crystal
As 0.000 0.500 0.000
Cr 0.500 0.000 0.000
Re 0.231 0.233 0.463
Re 0.769 0.767 0.537
```

***

# 5
VASP calculation (GGA-PBEsol) on crystalline KAuCl2 at its relaxed geometry. Values from VASP.

Crystal system: tetragonal
Polymorph energy (0 for the lowest one): 0.2607 eV/atom
SG: P4mm
M_tot: 0.0 μB per formula unit
Formation energy (no corrections): -0.759 eV/atom
Raw total energy: -0.1112 hartree per atom

```
&SYSTEM
  ibrav = 0, nat = 4, ntyp = 3
/
ATOMIC_SPECIES
K 39.10 K.upf
Au 196.97 Au.upf
Cl 35.45 Cl.upf
CELL_PARAMETERS angstrom
-3.036 -1.234 -2.365
1.837 -3.573 -0.494
-2.923 -2.179 4.888
ATOMIC_POSITIONS crystal
K 0.000 0.000 0.364
Au 0.500 0.500 0.836
Cl 0.000 0.000 0.876
Cl 0.500 0.500 0.423
```

***

# 6
VASP calculation (GGA-PBEsol) on crystalline MnCu2Pt at its relaxed geometry. Values from VASP.

Crystal system: cubic
SG: F-43m
DFT formation energy: -0.038 eV/atom
M_tot: 4.0 μB per formula unit
Raw total energy: -0.2347 hartree per atom

```
&SYSTEM
  ibrav = 0, nat = 4, ntyp = 3
/
ATOMIC_SPECIES
Mn 54.94 Mn.upf
Cu 63.55 Cu.upf
Pt 195.08 Pt.upf
CELL_PARAMETERS angstrom
-1.205 0.557 -3.966
-4.042 -0.323 -1.022
-2.166 3.415 -1.067
ATOMIC_POSITIONS crystal
Mn 0.500 0.500 0.500
Cu 0.000 0.000 0.000
Cu 0.250 0.250 0.250
Pt 0.750 0.750 0.750
```